w | Material: CdCu2Sb
Method: DFT, GGA-PBEsol
State: relaxed Values from VASP.

```
&SYSTEM
  ibrav = 0, nat = 8, ntyp = 3
/
ATOMIC_SPECIES
Cd 112.41 Cd.upf
Cu 63.55 Cu.upf
Sb 121.76 Sb.upf
ATOMIC_POSITIONS crystal
Cd 0.0000 0.0000 0.0000
Cd 0.5000 0.5000 0.0000
Cu 0.2443 0.5000 0.2434
Cu 0.4764 0.0000 0.3922
Cu 0.7443 0.0000 0.2434
Cu 0.9764 0.5000 0.3922
Sb 0.2256 0.0000 0.6345
Sb 0.7256 0.5000 0.6345
CELL_PARAMETERS angstrom
8.2968 0.0000 0.0000
0.0000 3.0824 0.0000
-1.0223 0.0000 5.6068
```

Computed properties:
The magnetization is 0.00 μB per atom. Its symmetry is No. 8.

x | Material: CdCu2Sb
Method: DFT, GGA-PBEsol
State: relaxed Values from VASP.

```
&SYSTEM
  ibrav = 0, nat = 12, ntyp = 3
/
ATOMIC_SPECIES
Cd 112.41 Cd.upf
Cu 63.55 Cu.upf
Sb 121.76 Sb.upf
ATOMIC_POSITIONS crystal
Cd 0.0000 0.0000 0.0000
Cd 0.3333 0.6667 0.6667
Cd 0.6667 0.3333 0.3333
Cu 0.0000 0.0000 0.2547
Cu 0.0000 0.0000 0.5224
Cu 0.3333 0.6667 0.1891
Cu 0.3333 0.6667 0.9213
Cu 0.6667 0.3333 0.5880
Cu 0.6667 0.3333 0.8558
Sb 0.0000 0.0000 0.7765
Sb 0.3333 0.6667 0.4431
Sb 0.6667 0.3333 0.1098
CELL_PARAMETERS angstrom
3.1235 0.0000 0.0000
-1.5617 2.7050 0.0000
0.0000 0.0000 25.3938
```

Computed properties:
The magnetization is 0.00 μB per atom. Its symmetry is No. 160.

On energetic grounds, w is preferred over the next structure by 102 meV per atom.

w | Material: CdCuSi
Method: DFT, GGA-PBEsol
State: relaxed Values from VASP.

```
&SYSTEM
  ibrav = 0, nat = 6, ntyp = 3
/
ATOMIC_SPECIES
Cd 112.41 Cd.upf
Cu 63.55 Cu.upf
Si 28.09 Si.upf
ATOMIC_POSITIONS crystal
Cd 0.0000 0.0000 0.0000
Cd 0.5000 0.5000 0.5000
Cu 0.0000 0.0000 0.6823
Cu 0.5000 0.5000 0.1823
Si 0.0000 0.0000 0.2939
Si 0.5000 0.5000 0.7939
CELL_PARAMETERS angstrom
2.6854 0.0000 0.0000
0.0000 3.4689 0.0000
0.0000 0.0000 10.3612
```

Computed properties:
The magnetization is 0.00 μB per atom. Its symmetry is No. 44.

x | Material: CdCuSi
Method: DFT, GGA-PBEsol
State: relaxed Values from VASP.

```
&SYSTEM
  ibrav = 0, nat = 12, ntyp = 3
/
ATOMIC_SPECIES
Cd 112.41 Cd.upf
Cu 63.55 Cu.upf
Si 28.09 Si.upf
ATOMIC_POSITIONS crystal
Cd 0.0000 0.0000 0.0000
Cd 0.0000 0.5000 0.5000
Cd 0.5000 0.0000 0.5000
Cd 0.5000 0.5000 0.0000
Cu 0.2500 0.2500 0.7500
Cu 0.2500 0.7500 0.2500
Cu 0.7500 0.2500 0.2500
Cu 0.7500 0.7500 0.7500
Si 0.0000 0.0000 0.5000
Si 0.0000 0.5000 0.0000
Si 0.5000 0.0000 0.0000
Si 0.5000 0.5000 0.5000
CELL_PARAMETERS angstrom
5.8720 0.0000 0.0000
0.0000 5.8720 0.0000
0.0000 0.0000 5.8720
```

Computed properties:
The magnetization is 0.00 μB per atom. Its symmetry is No. 216.

On energetic grounds, x is preferred over the next structure by 59 meV per atom.

w | Material: Cd2CuTc
Method: DFT, GGA-PBEsol
State: relaxed Values from VASP.

```
&SYSTEM
  ibrav = 0, nat = 4, ntyp = 3
/
ATOMIC_SPECIES
Cd 112.41 Cd.upf
Cu 63.55 Cu.upf
Tc 98.00 Tc.upf
ATOMIC_POSITIONS crystal
Cd 0.0000 0.0000 0.2429
Cd 0.0000 0.0000 0.7571
Cu 0.5000 0.5000 0.0000
Tc 0.5000 0.5000 0.5000
CELL_PARAMETERS angstrom
2.7555 0.0000 0.0000
0.0000 3.9546 0.0000
0.0000 0.0000 5.8355
```

Computed properties:
The magnetization is 0.00 μB per atom. Its symmetry is No. 47.

x | Material: Cd2CuTc
Method: DFT, GGA-PBEsol
State: relaxed Values from VASP.

```
&SYSTEM
  ibrav = 0, nat = 8, ntyp = 3
/
ATOMIC_SPECIES
Cd 112.41 Cd.upf
Cu 63.55 Cu.upf
Tc 98.00 Tc.upf
ATOMIC_POSITIONS crystal
Cd 0.2377 0.0000 0.2443
Cd 0.2623 0.5000 0.7557
Cd 0.7377 0.5000 0.2443
Cd 0.7623 0.0000 0.7557
Cu 0.0000 0.5000 0.0000
Cu 0.5000 0.0000 0.0000
Tc 0.0000 0.0000 0.5000
Tc 0.5000 0.5000 0.5000
CELL_PARAMETERS angstrom
9.6223 0.0000 0.0000
0.0000 2.7437 0.0000
-1.2390 0.0000 4.8089
```

Computed properties:
The magnetization is 0.00 μB per atom. Its symmetry is No. 12.

On energetic grounds, w is preferred over the next structure by 13 meV per atom.

w | Material: Cd2CuW
Method: DFT, GGA-PBEsol
State: relaxed Values from VASP.

```
&SYSTEM
  ibrav = 0, nat = 4, ntyp = 3
/
ATOMIC_SPECIES
Cd 112.41 Cd.upf
Cu 63.55 Cu.upf
W 183.84 W.upf
ATOMIC_POSITIONS crystal
Cd 0.0000 0.0000 0.0000
Cd 0.5000 0.5000 0.0000
Cu 0.0000 0.5000 0.5000
W 0.5000 0.0000 0.5000
CELL_PARAMETERS angstrom
2.9815 0.0000 0.0000
0.0000 4.6624 0.0000
0.0000 0.0000 4.7354
```

Computed properties:
The magnetization is 0.00 μB per atom. Its symmetry is No. 47.

x | Material: Cd2CuW
Method: DFT, GGA-PBEsol
State: relaxed Values from VASP.

```
&SYSTEM
  ibrav = 0, nat = 8, ntyp = 3
/
ATOMIC_SPECIES
Cd 112.41 Cd.upf
Cu 63.55 Cu.upf
W 183.84 W.upf
ATOMIC_POSITIONS crystal
Cd 0.2500 0.2500 0.0000
Cd 0.2500 0.7500 0.0000
Cd 0.7500 0.2500 0.0000
Cd 0.7500 0.7500 0.0000
Cu 0.0000 0.0000 0.5000
Cu 0.5000 0.5000 0.5000
W 0.0000 0.5000 0.5000
W 0.5000 0.0000 0.5000
CELL_PARAMETERS angstrom
5.7188 0.0000 0.0000
0.0000 8.6361 0.0000
0.0000 0.0000 2.6825
```

Computed properties:
The magnetization is 0.00 μB per atom. Its symmetry is No. 65.

On energetic grounds, x is preferred over the next structure by 137 meV per atom.